Material: Zn2TcMo
Method: DFT, PBE
State: relaxed

Lattice parameters (Å, degrees): 4.3602 4.3602 4.3602 60.00 60.00 60.00
Fractional coordinates of all 4 atoms:
Mo (0.7500, 0.7500, 0.7500)
Tc (0.0000, 0.0000, 0.0000)
Zn (0.2500, 0.2500, 0.2500)
Zn (0.5000, 0.5000, 0.5000)

Output
Magnetic moment ... 0.01 Bohr magnetons per cell
Uncorrected energy ... -0.214 hartree per atom